(1)
## YAgI3 (SCAN)

Data for a PBEsol-optimized structure of YAgI3.

Calculated values
Energy: -34.51 eV/atom
Energy relative to the elements, uncorrected: -0.63 eV/atom
Total magnetic moment: 1.0 μB/f.u.

Lattice parameters (Å, degrees): 5.879 5.879 5.879 90.00 90.00 90.00
Space group Pm-3m (No. 221)
Unique sites:
Y 0.000 0.000 0.000 (multiplicity 1)
Ag 0.500 0.500 0.500 (multiplicity 1)
I 0.000 0.000 0.500 (multiplicity 3)

(2)
## Zr2ZnAgI (SCAN)

Data for a PBEsol-optimized structure of Zr2ZnAgI.

Calculated values
Energy: -27.46 eV/atom
Energy relative to the elements, uncorrected: 1.14 eV/atom
Total magnetic moment: 0.0 μB/f.u.

Lattice parameters (Å, degrees): 5.133 5.133 5.398 90.00 90.00 90.00
Space group P4/mmm (No. 123)
Unique sites:
Zr 0.000 0.500 0.000 (multiplicity 2)
Zn 0.000 0.000 0.500 (multiplicity 1)
Ag 0.500 0.500 0.000 (multiplicity 1)
I 0.500 0.500 0.500 (multiplicity 1)

(3)
## Zr2AgI (SCAN)

Data for a PBEsol-optimized structure of Zr2AgI.

Calculated values
Energy: -32.27 eV/atom
Energy relative to the elements, uncorrected: 0.10 eV/atom
Total magnetic moment: 0.0 μB/f.u.

Lattice parameters (Å, degrees): 6.916 6.916 6.916 90.00 90.00 90.00
Space group Fm-3m (No. 225)
Unique sites:
Zr 0.250 0.250 0.250 (multiplicity 8)
Ag 0.000 0.000 0.000 (multiplicity 4)
I 0.000 0.000 0.500 (multiplicity 4)

(4)
## In2Ag3 (SCAN)

Data for a PBEsol-optimized structure of In2Ag3.

Calculated values
Energy: -32.15 eV/atom
Energy of formation: 28 meV per atom
Total magnetic moment: 0.0 μB/f.u.

Lattice parameters (Å, degrees): 9.487 26.025 3.104 90.00 90.00 90.00
Space group Fdd2 (No. 43)
Unique sites:
In 0.031 0.302 0.000 (multiplicity 16)
Ag 0.000 0.000 0.248 (multiplicity 8)
Ag 0.054 0.405 0.272 (multiplicity 16)

(5)
## In5Ag24 (SCAN)

Data for a PBEsol-optimized structure of In5Ag24.

Calculated values
Energy: -31.67 eV/atom
Energy of formation: 43 meV per atom
Total magnetic moment: 0.0 μB/f.u.

Lattice parameters (Å, degrees): 10.092 10.092 10.092 90.00 90.00 90.00
Space group I-43m (No. 217)
Unique sites:
In 0.000 0.000 0.000 (multiplicity 2)
In 0.181 0.181 0.181 (multiplicity 8)
Ag 0.050 0.364 0.636 (multiplicity 24)
Ag 0.094 0.094 0.713 (multiplicity 24)

(6)
## InAg (SCAN)

Data for a PBEsol-optimized structure of InAg.

Calculated values
Energy: -32.33 eV/atom
Energy of formation: 51 meV per atom
Total magnetic moment: 0.0 μB/f.u.

Lattice parameters (Å, degrees): 4.236 4.236 8.752 90.00 90.00 90.00
Space group I4_1/amd (No. 141, origin choice 2)
Unique sites:
In 0.000 0.250 0.375 (multiplicity 4)
Ag 0.000 0.250 0.875 (multiplicity 4)

(7)
## InAg5 (SCAN)

Data for a PBEsol-optimized structure of InAg5.

Calculated values
Energy: -31.71 eV/atom
Offset from the most stable computed form: 2.3 kJ/mol of atoms
Energy of formation: -4 meV per atom
Total magnetic moment: 0.0 μB/f.u.

Lattice parameters (Å, degrees): 10.660 2.933 6.897 90.00 105.67 90.00
Space group Cm (No. 8)
Unique sites:
In 0.000 0.000 0.000 (multiplicity 2)
Ag 0.115 0.500 0.723 (multiplicity 2)
Ag 0.170 0.500 0.339 (multiplicity 2)
Ag 0.280 0.000 0.063 (multiplicity 2)
Ag 0.333 0.000 0.664 (multiplicity 2)
Ag 0.448 0.500 0.396 (multiplicity 2)

(8)
## InAg (SCAN)

Data for a PBEsol-optimized structure of InAg.

Calculated values
Energy: -32.28 eV/atom
Energy of formation: 99 meV per atom
Total magnetic moment: 0.0 μB/f.u.

Lattice parameters (Å, degrees): 3.1828 3.1828 9.2839 90.00 90.00 120.00
Space group P-3m1 (No. 164)
Unique sites:
In 0.3333 0.6667 0.1412 (multiplicity 2)
Ag 0.3333 0.6667 0.6146 (multiplicity 2)

(9)
## InAg (SCAN)

Data for a PBEsol-optimized structure of InAg.

Calculated values
Energy: -32.24 eV/atom
Energy of formation: 137 meV per atom
Total magnetic moment: 0.0 μB/f.u.

Lattice parameters (Å, degrees): 6.860 6.860 6.860 90.00 90.00 90.00
Space group Fd-3m (No. 227, origin choice 2)
Unique sites:
In 0.125 0.125 0.125 (multiplicity 8)
Ag 0.125 0.125 0.625 (multiplicity 8)

(10)
## InAg (SCAN)

Data for a PBEsol-optimized structure of InAg.

Calculated values
Energy: -32.36 eV/atom
Energy of formation: 17 meV per atom
Total magnetic moment: 0.0 μB/f.u.

Lattice parameters (Å, degrees): 3.355 10.697 4.477 90.00 90.00 90.00
Space group Cmcm (No. 63)
Unique sites:
In 0.000 0.155 0.250 (multiplicity 4)
Ag 0.000 0.420 0.250 (multiplicity 4)

(11)
## InAg (SCAN)

Data for a PBEsol-optimized structure of InAg.

Calculated values
Energy: -32.32 eV/atom
Energy of formation: 54 meV per atom
Total magnetic moment: 0.0 μB/f.u.

Lattice parameters (Å, degrees): 10.972 7.746 5.766 90.00 90.00 90.00
Space group Pbcm (No. 57)
Unique sites:
In 0.129 0.060 0.250 (multiplicity 4)
In 0.314 0.675 0.250 (multiplicity 4)
In 0.352 0.250 0.000 (multiplicity 4)
Ag 0.076 0.750 0.000 (multiplicity 4)
Ag 0.123 0.072 0.750 (multiplicity 4)
Ag 0.472 0.528 0.750 (multiplicity 4)

(12)
## InAg (SCAN)

Data for a PBEsol-optimized structure of InAg.

Calculated values
Energy: -32.35 eV/atom
Energy of formation: 30 meV per atom
Total magnetic moment: 0.0 μB/f.u.

Lattice parameters (Å, degrees): 11.221 3.010 4.938 90.00 107.55 90.00
Space group C2/m (No. 12)
Unique sites:
In 0.107 0.000 0.303 (multiplicity 4)
Ag 0.145 0.500 0.825 (multiplicity 4)

(13)
## In3Ag5 (SCAN)

Data for a PBEsol-optimized structure of In3Ag5.

Calculated values
Energy: -32.11 eV/atom
Energy of formation: 12 meV per atom
Total magnetic moment: 0.0 μB/f.u.

Lattice parameters (Å, degrees): 8.038 8.585 4.290 90.00 90.00 90.00
Space group Cmmm (No. 65)
Unique sites:
In 0.000 0.000 0.000 (multiplicity 2)
In 0.000 0.268 0.500 (multiplicity 4)
Ag 0.000 0.500 0.000 (multiplicity 2)
Ag 0.242 0.000 0.500 (multiplicity 4)
Ag 0.250 0.250 0.000 (multiplicity 4)

(14)
## In2Ag (SCAN)

Data for a PBEsol-optimized structure of In2Ag.

Calculated values
Energy: -32.63 eV/atom
Energy of formation: 85 meV per atom
Total magnetic moment: 0.0 μB/f.u.

Lattice parameters (Å, degrees): 3.081 4.256 9.803 90.00 90.00 90.00
Space group Immm (No. 71)
Unique sites:
In 0.000 0.000 0.158 (multiplicity 4)
Ag 0.000 0.000 0.500 (multiplicity 2)

(15)
## InAg (SCAN)

Data for a PBEsol-optimized structure of InAg.

Calculated values
Energy: -32.21 eV/atom
Energy of formation: 164 meV per atom
Total magnetic moment: 0.0 μB/f.u.

Lattice parameters (Å, degrees): 3.1103 3.1103 10.0752 90.00 90.00 120.00
Space group P6_3mc (No. 186)
Unique sites:
In 0.3333 0.6667 0.0000 (multiplicity 2)
Ag 0.3333 0.6667 0.2718 (multiplicity 2)

(16)
## InAg7 (SCAN)

Data for a PBEsol-optimized structure of InAg7.

Calculated values
Energy: -31.64 eV/atom
Energy of formation: -22 meV per atom
Total magnetic moment: 0.0 μB/f.u.

Lattice parameters (Å, degrees): 8.174 8.174 8.174 90.00 90.00 90.00
Space group Fm-3m (No. 225)
Unique sites:
In 0.000 0.000 0.000 (multiplicity 4)
Ag 0.000 0.000 0.500 (multiplicity 4)
Ag 0.000 0.250 0.250 (multiplicity 24)

(17)
## In12Ag17 (SCAN)

Data for a PBEsol-optimized structure of In12Ag17.

Calculated values
Energy: -32.11 eV/atom
Energy of formation: 94 meV per atom
Total magnetic moment: 0.0 μB/f.u.

Lattice parameters (Å, degrees): 10.402 10.402 10.402 90.00 90.00 90.00
Space group I-43m (No. 217)
Unique sites:
In 0.097 0.097 0.296 (multiplicity 24)
Ag 0.000 0.000 0.000 (multiplicity 2)
Ag 0.056 0.363 0.363 (multiplicity 24)
Ag 0.162 0.162 0.838 (multiplicity 8)

(18)
## In2Ag (SCAN)

Data for a PBEsol-optimized structure of In2Ag.

Calculated values
Energy: -32.70 eV/atom
Energy of formation: 14 meV per atom
Total magnetic moment: 0.0 μB/f.u.

Lattice parameters (Å, degrees): 3.143 3.143 26.327 90.00 90.00 90.00
Space group I4_1/amd (No. 141, origin choice 2)
Unique sites:
In 0.000 0.250 0.301 (multiplicity 8)
Ag 0.000 0.250 0.875 (multiplicity 4)

(19)
## InAg5 (SCAN)

Data for a PBEsol-optimized structure of InAg5.

Calculated values
Energy: -31.71 eV/atom
Offset from the most stable computed form: 2.3 kJ/mol of atoms
Energy of formation: -4 meV per atom
Total magnetic moment: 0.0 μB/f.u.

Lattice parameters (Å, degrees): 4.743 2.914 15.029 90.00 90.00 90.00
Space group Amm2 (No. 38)
Unique sites:
In 0.000 0.000 0.000 (multiplicity 2)
Ag 0.000 0.000 0.332 (multiplicity 2)
Ag 0.000 0.000 0.670 (multiplicity 2)
Ag 0.500 0.000 0.222 (multiplicity 2)
Ag 0.500 0.000 0.557 (multiplicity 2)
Ag 0.500 0.000 0.886 (multiplicity 2)

(20)
## InAg5 (SCAN)

Data for a PBEsol-optimized structure of InAg5.

Calculated values
Energy: -31.73 eV/atom
Offset from the most stable computed form: 0.0 kJ/mol of atoms
Energy of formation: -28 meV per atom
Total magnetic moment: 0.0 μB/f.u.

Lattice parameters (Å, degrees): 5.0122 5.0122 4.7484 90.00 90.00 120.00
Space group P-62m (No. 189)
Unique sites:
In 0.0000 0.0000 0.0000 (multiplicity 1)
Ag 0.0000 0.6638 0.5000 (multiplicity 3)
Ag 0.3333 0.6667 0.0000 (multiplicity 2)

(21)
## InAg5 (SCAN)

Data for a PBEsol-optimized structure of InAg5.

Calculated values
Energy: -31.68 eV/atom
Offset from the most stable computed form: 4.5 kJ/mol of atoms
Energy of formation: 19 meV per atom
Total magnetic moment: 0.0 μB/f.u.

Lattice parameters (Å, degrees): 3.005 3.005 11.594 90.00 90.00 90.00
Space group P4/mmm (No. 123)
Unique sites:
In 0.000 0.000 0.000 (multiplicity 1)
Ag 0.000 0.000 0.340 (multiplicity 2)
Ag 0.500 0.500 0.177 (multiplicity 2)
Ag 0.500 0.500 0.500 (multiplicity 1)

(22)
## In2Ag (SCAN)

Data for a PBEsol-optimized structure of In2Ag.

Calculated values
Energy: -32.72 eV/atom
Energy of formation: -3 meV per atom
Total magnetic moment: 0.0 μB/f.u.

Lattice parameters (Å, degrees): 6.847 6.847 5.505 90.00 90.00 90.00
Space group I4/mcm (No. 140)
Unique sites:
In 0.155 0.345 0.000 (multiplicity 8)
Ag 0.000 0.000 0.250 (multiplicity 4)

(23)
## InAg5 (SCAN)

Data for a PBEsol-optimized structure of InAg5.

Calculated values
Energy: -31.72 eV/atom
Offset from the most stable computed form: 1.0 kJ/mol of atoms
Energy of formation: -18 meV per atom
Total magnetic moment: 0.0 μB/f.u.

Lattice parameters (Å, degrees): 4.127 12.154 4.133 90.00 90.00 90.00
Space group Cmmm (No. 65)
Unique sites:
In 0.000 0.000 0.000 (multiplicity 2)
Ag 0.000 0.169 0.500 (multiplicity 4)
Ag 0.000 0.332 0.000 (multiplicity 4)
Ag 0.000 0.500 0.500 (multiplicity 2)

(24)
## In4AgIr (SCAN)

Data for a PBEsol-optimized structure of In4AgIr.

Calculated values
Energy: -38.60 eV/atom
Energy of formation: 732 meV per atom
Total magnetic moment: 0.0 μB/f.u.

Lattice parameters (Å, degrees): 7.973 7.973 7.973 90.00 90.00 90.00
Space group F-43m (No. 216)
Unique sites:
In 0.125 0.125 0.125 (multiplicity 16)
Ag 0.250 0.250 0.750 (multiplicity 4)
Ir 0.000 0.000 0.500 (multiplicity 4)

(25)
## InAgIr (SCAN)

Data for a PBEsol-optimized structure of InAgIr.

Calculated values
Energy: -44.65 eV/atom
Energy of formation: 633 meV per atom
Total magnetic moment: 0.0 μB/f.u.

Lattice parameters (Å, degrees): 6.146 6.146 6.146 90.00 90.00 90.00
Space group F-43m (No. 216)
Unique sites:
In 0.000 0.000 0.000 (multiplicity 4)
Ag 0.250 0.250 0.250 (multiplicity 4)
Ir 0.000 0.000 0.500 (multiplicity 4)